# 1
This record from Alexandria describes crystalline BaPt3F at its relaxed geometry. The functional is PBE.

a b c (Å): 5.4790 5.4790 5.4790
angles (deg): 90.00 90.00 90.00
With the nearest neighbours (Å) after each atom.
Element x y z (fractional)
Pt  0.0000  0.0000  0.5000  2 Ba 2.74
F  0.5000  0.5000  0.5000  12 Pt 3.87
Ba  0.0000  0.0000  0.0000  6 Pt 2.74
Pt  0.0000  0.5000  0.0000  2 Ba 2.74
Pt  0.5000  0.0000  0.0000  2 Ba 2.74

Computed properties:
Symmetry: Pm-3m
Volume, A^3/atom: 32.90
Formation energy (no corrections), meV/atom: 1566
Distance to the lowest polymorph of the same formula, meV per atom: 1488
Total magnetic moment, μB/f.u.: 0.67
Electronic total energy, eV per atom: -2.817
N(E_F), states/eV per atom: 2.919

***

# 2
This record from Alexandria describes crystalline SrIn2Cl4 at its relaxed geometry. The functional is PBE.

a b c (Å): 4.3047 9.2936 7.8754
angles (deg): 59.26 74.75 62.60
With the nearest neighbours (Å) after each atom.
Element x y z (fractional)
Cl  0.0761  0.7200  0.4121  1 Sr 2.92, 3 In 2.99-3.08
In  0.4291  0.4191  0.2790  3 Cl 2.99-3.08
Cl  0.9239  0.2799  0.5879  1 Sr 2.92, 3 In 2.99-3.08
In  0.5709  0.5809  0.7210  3 Cl 2.99-3.08
Cl  0.2637  0.2111  0.0547  2 Sr 2.91-2.92
Sr  0.0000  0.0000  0.0000  6 Cl 2.91-2.92
Cl  0.7363  0.7889  0.9453  2 Sr 2.91-2.92

Computed properties:
Symmetry: P-1
Volume, A^3/atom: 34.32
Formation energy (no corrections), meV/atom: -1505
Distance to the lowest polymorph of the same formula, meV per atom: 0
Total magnetic moment, μB/f.u.: 0.00
Electronic total energy, eV per atom: -3.582
N(E_F), states/eV per atom: 0.000

***

# 3
This record from Alexandria describes crystalline UMnAlMo at its relaxed geometry. The functional is PBE.

a b c (Å): 4.5231 4.5231 4.5231
angles (deg): 60.00 60.00 60.00
With the nearest neighbours (Å) after each atom.
Element x y z (fractional)
Mo  0.2500  0.2500  0.2500  4 U 2.77, 4 Al 2.77
Mn  0.7500  0.7500  0.7500  4 U 2.77, 4 Al 2.77
Al  0.0000  0.0000  0.0000  4 Mn 2.77, 4 Mo 2.77
U  0.5000  0.5000  0.5000  4 Mn 2.77, 4 Mo 2.77

Computed properties:
Symmetry: F-43m
Volume, A^3/atom: 16.36
Total magnetic moment, μB/f.u.: 1.04
ΔH_f (0 K), eV per atom: 0.025
Electronic total energy, eV per atom: -8.733
N(E_F), states/eV per atom: 1.304

***

# 4
This record from Alexandria describes crystalline BaLiGa2Pd at its relaxed geometry. The functional is PBE.

a b c (Å): 4.9060 4.9060 5.0166
angles (deg): 90.00 90.00 90.00
With the nearest neighbours (Å) after each atom.
Element x y z (fractional)
Pd  0.0000  0.0000  0.0000  4 Ga 2.45, 2 Li 2.51
Ga  0.5000  0.0000  0.0000  2 Pd 2.45
Ba  0.5000  0.5000  0.5000  4 Li 3.47, 8 Ga 3.51
Li  0.0000  0.0000  0.5000  2 Pd 2.51
Ga  0.0000  0.5000  0.0000  2 Pd 2.45

Computed properties:
Symmetry: P4/mmm
Volume, A^3/atom: 24.15
Distance to the lowest polymorph of the same formula, meV per atom: 25
Total magnetic moment, μB/f.u.: 0.00
ΔH_f (0 K), eV per atom: -0.433
Electronic total energy, eV per atom: -3.450
N(E_F), states/eV per atom: 0.656

***

# 5
This record from Alexandria describes crystalline Rb2SnN at its relaxed geometry. The functional is PBE.

a b c (Å): 5.6879 5.6879 5.6879
angles (deg): 60.00 60.00 60.00
With the nearest neighbours (Å) after each atom.
Element x y z (fractional)
N  0.0000  0.0000  0.0000  8 Rb 3.48
Rb  0.2500  0.2500  0.2500  4 Sn 3.48, 4 N 3.48
Sn  0.5000  0.5000  0.5000  8 Rb 3.48
Rb  0.7500  0.7500  0.7500  4 Sn 3.48, 4 N 3.48

Computed properties:
Symmetry: Fm-3m
Volume, A^3/atom: 32.53
Formation energy (no corrections), meV/atom: 1173
Distance to the lowest polymorph of the same formula, meV per atom: 804
Total magnetic moment, μB/f.u.: 0.00
Electronic total energy, eV per atom: -2.393
N(E_F), states/eV per atom: 1.155

***

# 6
This record from Alexandria describes crystalline MnAlAs2 at its relaxed geometry. The functional is PBE.

a b c (Å): 3.4595 4.4227 4.4227
angles (deg): 90.00 90.00 90.00
With the nearest neighbours (Å) after each atom.
Element x y z (fractional)
As  0.0000  0.5000  0.5000  4 Al 2.81, 4 Mn 2.81, 4 As 3.13
Al  0.5000  0.0000  0.5000  8 As 2.81, 4 Mn 3.13
As  0.0000  0.0000  0.0000  4 Mn 2.81, 4 Al 2.81, 4 As 3.13
Mn  0.5000  0.5000  0.0000  8 As 2.81, 4 Al 3.13

Computed properties:
Symmetry: P4/mmm
Volume, A^3/atom: 16.92
Total magnetic moment, μB/f.u.: 3.67
ΔH_f (0 K), eV per atom: 0.142
Electronic total energy, eV per atom: -5.411
N(E_F), states/eV per atom: 0.487

***

# 7
This record from Alexandria describes crystalline Ca8Ga2N at its relaxed geometry. The functional is PBE.

a b c (Å): 5.5786 6.6399 9.4430
angles (deg): 109.72 107.18 90.00
With the nearest neighbours (Å) after each atom.
Element x y z (fractional)
Ca  0.4156  0.6302  0.8312  1 N 2.39
Ca  0.6288  0.9402  0.2575  1 N 2.49
Ca  0.9823  0.2269  0.9645  1 Ga 3.04, 2 N 3.24, 5 Ca 3.29-3.38
Ca  0.3712  0.0598  0.7425  1 N 2.49
Ca  0.0177  0.7731  0.0355  1 Ga 3.04, 2 N 3.24, 5 Ca 3.29-3.38
Ga  0.1766  0.7084  0.3532  4 Ca 3.04-3.35
Ga  0.8234  0.2916  0.6468  4 Ca 3.04-3.35
Ca  0.7807  0.7148  0.5614  3 Ga 3.17-3.35, 1 Ca 3.47
Ca  0.2193  0.2852  0.4386  3 Ga 3.17-3.35, 1 Ca 3.47
N  0.5000  0.0000  0.0000  4 Ca 2.39-2.49
Ca  0.5844  0.3698  0.1688  1 N 2.39

Computed properties:
Symmetry: C2/m
Volume, A^3/atom: 28.42
Formation energy (no corrections), meV/atom: -194
Total magnetic moment, μB/f.u.: 0.00
Electronic total energy, eV per atom: -2.957
N(E_F), states/eV per atom: 0.767

***

# 8
This record from Alexandria describes crystalline Zr2CoAg2 at its relaxed geometry. The functional is PBE.

a b c (Å): 3.9527 3.9527 7.3064
angles (deg): 74.31 74.31 90.00
With the nearest neighbours (Å) after each atom.
Element x y z (fractional)
Ag  0.4061  0.4061  0.1877  1 Ag 2.53
Zr  0.2500  0.7500  0.5000  4 Zr 2.79, 4 Ag 2.89
Ag  0.5939  0.5939  0.8123  1 Ag 2.53
Co  0.0000  0.0000  0.0000  8 Ag 3.07
Zr  0.7500  0.2500  0.5000  4 Zr 2.79, 4 Ag 2.89

Computed properties:
Symmetry: I4/mmm
Volume, A^3/atom: 21.09
Distance to the lowest polymorph of the same formula, meV per atom: 568
Total magnetic moment, μB/f.u.: 0.04
ΔH_f (0 K), eV per atom: 0.869
Electronic total energy, eV per atom: -5.112
N(E_F), states/eV per atom: 1.830

***

Q: Which formula does entry 5 have?
A: Rb2SnN